Y2WO6 | PBE with a Hubbard U | relaxed

Unit cell a=5.2388 b=9.0348 c=21.1780 alpha=90.00 beta=90.00 gamma=90.00
Element x y z (fractional)
Y 0.0052 0.2093 0.2975
Y 0.0102 0.1232 0.0645
Y 0.0148 0.2264 0.5715
Y 0.0263 0.1146 0.8329
Y 0.4737 0.8854 0.3329
Y 0.4852 0.7736 0.0715
Y 0.4898 0.8768 0.5645
Y 0.4948 0.7907 0.7975
Y 0.5052 0.2907 0.7025
Y 0.5102 0.3768 0.9355
Y 0.5148 0.2736 0.4285
Y 0.5263 0.3854 0.1671
Y 0.9737 0.6146 0.6671
Y 0.9852 0.7264 0.9285
Y 0.9898 0.6232 0.4355
Y 0.9948 0.7093 0.2025
W 0.0055 0.4797 0.8123
W 0.0129 0.5001 0.0581
W 0.4871 0.4999 0.5581
W 0.4945 0.5203 0.3123
W 0.5055 0.0203 0.1877
W 0.5129 0.9999 0.9419
W 0.9871 0.0001 0.4419
W 0.9945 0.9797 0.6877
O 0.1708 0.8361 0.4039
O 0.1898 0.8290 0.6427
O 0.2038 0.6231 0.7631
O 0.2037 0.6528 0.0137
O 0.2147 0.1299 0.3882
O 0.2190 0.5221 0.8855
O 0.2203 0.3199 0.7824
O 0.2230 0.9710 0.7609
O 0.2246 0.3483 0.0231
O 0.2260 0.0245 0.5102
O 0.2290 0.1317 0.6527
O 0.2423 0.5480 0.1300
O 0.2577 0.4520 0.6300
O 0.2710 0.8683 0.1527
O 0.2740 0.9755 0.0102
O 0.2754 0.6517 0.5231
O 0.2770 0.0290 0.2609
O 0.2797 0.6801 0.2824
O 0.2810 0.4779 0.3855
O 0.2853 0.8701 0.8882
O 0.2963 0.3472 0.5137
O 0.2962 0.3769 0.2631
O 0.3102 0.1710 0.1427
O 0.3292 0.1639 0.9039
O 0.6708 0.6639 0.5961
O 0.6898 0.6710 0.3573
O 0.7037 0.8472 0.9863
O 0.7038 0.8769 0.2369
O 0.7147 0.3701 0.6118
O 0.7190 0.9779 0.1145
O 0.7203 0.1801 0.2176
O 0.7230 0.5290 0.2391
O 0.7246 0.1517 0.9769
O 0.7260 0.4755 0.4898
O 0.7290 0.3683 0.3473
O 0.7423 0.9520 0.8700
O 0.7577 0.0480 0.3700
O 0.7710 0.6317 0.8473
O 0.7740 0.5245 0.9898
O 0.7754 0.8483 0.4769
O 0.7770 0.4710 0.7391
O 0.7797 0.8199 0.7176
O 0.7810 0.0221 0.6145
O 0.7853 0.6299 0.1118
O 0.7962 0.1231 0.7369
O 0.7963 0.1528 0.4863
O 0.8102 0.3290 0.8573
O 0.8292 0.3361 0.0961

Values from the calculation:
Space group: P2_12_12_1
ΔE to the lowest computed polymorph, eV per formula unit: 0.03
Crystal system: orthorhombic
M_tot, μB per atom: 0.00